1.
This record from Alexandria via LeMat-Bulk describes a relaxed structure of ZrSeS2N. The functional is GGA-PBE.

Geometry as extended XYZ:
```
5
Lattice="-2.829 -2.214 -3.636 -2.286 -2.892 3.540 -2.835 2.831 0.482" Properties=species:S:1:pos:R:3 pbc="T T T"
S -1.143 -1.446 1.770
S -1.415 -1.107 -1.818
Se -3.975 -1.137 0.193
Zr 0.000 0.000 0.000
N -1.418 1.416 0.241
```

2.
This record from Alexandria via LeMat-Bulk describes a relaxed structure of SiSN2. The functional is GGA-PBE.

Geometry as extended XYZ:
```
4
Lattice="3.087 -0.002 0.002 -1.303 4.032 -0.002 -0.124 -1.243 4.256" Properties=species:S:1:pos:R:3 pbc="T T T"
Si 0.240 1.377 1.536
S 0.856 3.153 0.237
N 0.053 1.911 3.084
N 1.799 0.566 1.061
```

3.
This record from Alexandria via LeMat-Bulk describes a relaxed structure of SiSN2. The functional is GGA-PBE.

Geometry as extended XYZ:
```
4
Lattice="1.630 0.000 5.693 -0.815 1.412 5.693 -0.815 -1.412 5.693" Properties=species:S:1:pos:R:3 pbc="T T T"
S 0.000 0.000 0.000
Si 0.000 0.000 8.540
N 0.000 0.000 15.209
N 0.000 0.000 1.871
```

4.
This record from Alexandria via LeMat-Bulk describes a relaxed structure of SiSN2. The functional is GGA-PBE.

Geometry as extended XYZ:
```
4
Lattice="2.972 0.000 0.000 -1.486 2.574 0.000 0.000 0.000 6.907" Properties=species:S:1:pos:R:3 pbc="T T T"
Si 0.000 1.716 2.458
S 1.486 0.858 4.521
N 1.486 0.858 6.017
N 0.000 0.000 1.978
```

5.
This record from Alexandria via LeMat-Bulk describes a relaxed structure of SiSN2. The functional is GGA-PBE.

Geometry as extended XYZ:
```
4
Lattice="1.690 0.000 5.771 -0.845 1.463 5.771 -0.845 -1.463 5.771" Properties=species:S:1:pos:R:3 pbc="T T T"
S 0.000 0.000 8.656
Si 0.000 0.000 0.000
N 0.000 0.000 15.509
N 0.000 0.000 1.803
```

6.
This record from Alexandria via LeMat-Bulk describes a relaxed structure of SiSN2. The functional is GGA-PBE.

Geometry as extended XYZ:
```
4
Lattice="3.242 0.000 0.000 1.214 3.427 0.000 0.842 0.590 5.218" Properties=species:S:1:pos:R:3 pbc="T T T"
Si 2.922 2.875 0.544
S 3.941 2.304 3.991
N 2.625 1.064 0.463
N 4.546 3.326 1.096
```

7.
This record from Alexandria via LeMat-Bulk describes a relaxed structure of SiSN2. The functional is GGA-PBE.

Geometry as extended XYZ:
```
4
Lattice="2.907 0.000 0.000 1.453 2.519 -0.001 0.050 1.322 7.256" Properties=species:S:1:pos:R:3 pbc="T T T"
Si 2.982 2.246 5.853
S 2.933 0.926 1.817
N 2.933 0.925 0.309
N 1.528 1.406 5.313
```

8.
This record from Alexandria via LeMat-Bulk describes a relaxed structure of SiSN2. The functional is GGA-PBE.

Geometry as extended XYZ:
```
8
Lattice="-3.561 3.073 1.387 -2.551 -3.775 1.814 -1.295 0.125 5.067" Properties=species:S:1:pos:R:3 pbc="T T T"
S 0.000 0.000 0.000
S -3.956 1.424 4.027
Si -3.056 -0.351 1.601
Si -3.451 -2.000 4.241
N -2.525 1.184 2.227
N -2.706 -1.648 2.708
N -3.509 -0.533 5.176
N -6.073 -0.157 6.427
```

9.
This record from Alexandria via LeMat-Bulk describes a relaxed structure of SiSN2. The functional is GGA-PBE.

Geometry as extended XYZ:
```
8
Lattice="7.354 0.000 0.001 0.000 2.912 0.000 -1.194 0.000 4.893" Properties=species:S:1:pos:R:3 pbc="T T T"
Si 2.427 0.000 2.411
Si 1.830 1.456 4.857
S 5.555 0.000 3.172
S 6.152 1.456 0.725
N 4.089 0.000 2.816
N 4.686 1.456 0.369
N 1.503 0.000 3.914
N 2.100 1.456 1.468
```

10.
This record from Alexandria via LeMat-Bulk describes a relaxed structure of SiSN2. The functional is GGA-PBE.

Geometry as extended XYZ:
```
8
Lattice="5.329 0.000 -0.003 0.000 3.897 0.000 -2.173 0.000 4.351" Properties=species:S:1:pos:R:3 pbc="T T T"
Si 0.000 0.967 0.000
Si -1.087 2.915 2.176
S 1.578 1.050 2.174
S 2.664 2.998 -0.002
N 3.954 0.001 0.681
N -0.798 0.001 3.666
N 2.867 1.949 2.857
N 0.288 1.949 1.491
```

11.
This record from Alexandria via LeMat-Bulk describes a relaxed structure of Si3SN. The functional is GGA-PBE.

Geometry as extended XYZ:
```
5
Lattice="4.183 0.000 0.000 0.000 4.183 0.000 0.000 0.000 4.183" Properties=species:S:1:pos:R:3 pbc="T T T"
S 2.092 2.092 2.092
Si 0.000 2.092 0.000
Si 0.000 0.000 2.092
Si 2.092 0.000 0.000
N 0.000 0.000 0.000
```

12.
This record from Alexandria via LeMat-Bulk describes a relaxed structure of Si3SN. The functional is GGA-PBE.

Geometry as extended XYZ:
```
5
Lattice="-1.972 2.303 3.377 -3.139 -3.255 0.386 2.618 -2.168 3.007" Properties=species:S:1:pos:R:3 pbc="T T T"
S 0.000 0.000 0.000
Si -1.570 -1.628 0.193
Si 1.309 -1.084 1.504
Si -0.986 1.151 1.689
N -1.247 -1.560 3.385
```

13.
This record from Alexandria via LeMat-Bulk describes a relaxed structure of SiSnSN2. The functional is GGA-PBE.

Geometry as extended XYZ:
```
5
Lattice="4.099 0.000 0.000 0.000 4.099 0.000 0.000 0.000 5.279" Properties=species:S:1:pos:R:3 pbc="T T T"
S 0.000 0.000 2.640
Si 2.049 2.049 2.640
Sn 0.000 0.000 0.000
N 0.000 2.049 0.000
N 2.049 0.000 0.000
```

14.
This record from Alexandria via LeMat-Bulk describes a relaxed structure of SiSnSN2. The functional is GGA-PBE.

Geometry as extended XYZ:
```
5
Lattice="3.666 0.000 0.000 0.000 3.666 0.000 0.000 0.000 4.982" Properties=species:S:1:pos:R:3 pbc="T T T"
S 0.000 0.000 2.491
Si 0.000 0.000 0.000
Sn 1.833 1.833 2.491
N 0.000 1.833 0.000
N 1.833 0.000 0.000
```

Uncorrected formation energy (eV per atom)
0.269; 0.126; 0.053; 0.384; 1.051; 0.325; -0.226; 0.468; -0.227; 0.094; 0.898; 1.900; 1.374; 0.430
D(E_F) (states/eV/f.u.)
6.39; 0.00; 1.51; 1.06; 1.46; 0.00; 0.96; 0.80; 0.62; 0.19; 3.12; 2.58; 2.22; 2.05